(1)
SmHoSc2 (PBE, relaxed); total energy = -5.436 eV/atom; E above lowest polymorph = 0.006 eV/atom; crystal system = tetragonal
1.0
-1.9304 2.9107 -0.0525
-2.1229 -1.4506 -2.3645
-5.2786 -3.3779 6.8115
Sc Ho Sm
2 1 1
Cartesian
-3.9745 -2.5434 5.1287 Sc
-1.3041 -0.8345 1.6828 Sc
-2.0266 0.7301 -1.2085 Ho
-4.6659 -0.9589 2.1972 Sm

=====

(2)
Sm2Ho4Sc3 (PBE, relaxed); total energy = -5.084 eV/atom; E above lowest polymorph = 0.049 eV/atom; crystal system = monoclinic
1.0
-4.1564 -4.1647 1.3133
3.3071 -1.5288 8.8878
-4.8773 5.7216 5.9787
Sm Ho Sc
4 8 6
Cartesian
-0.5238 0.8099 9.8374 Sm
-0.7641 -0.7905 6.5247 Sm
-5.2027 -0.7818 6.3423 Sm
-4.9625 0.8186 9.6551 Sm
-5.7775 2.3791 6.3186 Ho
-7.9285 0.7944 8.4203 Ho
0.0509 -2.3510 9.8612 Ho
2.2019 -0.7663 7.7595 Ho
-2.7126 -0.7397 11.9144 Ho
-2.8130 -3.3336 5.7321 Ho
-3.0139 0.7678 4.2653 Ho
-2.9136 3.3617 10.4477 Ho
-0.8537 2.4137 12.8022 Sc
-1.1634 -1.7483 3.3008 Sc
-4.8728 -2.3856 3.3776 Sc
-4.5632 1.7764 12.8790 Sc
-2.6548 1.7911 7.4663 Sc
-3.0717 -1.7630 8.7135 Sc

=====

(3)
Sm15Ho4Sc (PBE, relaxed); total energy = -4.752 eV/atom; crystal system = tetragonal
1.0
-1.6084 -0.3483 -4.8066
2.0971 -4.6129 -0.3675
-21.6260 -10.4682 7.9950
Sm Ho Sc
15 4 1
Cartesian
0.2443 -2.4806 -2.5870 Sm
-4.0278 -4.5486 -1.0077 Sm
-8.3902 -6.6602 0.6051 Sm
-12.7471 -8.7692 2.2158 Sm
-17.1095 -10.8809 3.8285 Sm
-2.9021 -1.1896 -1.6277 Sm
-7.2586 -3.2984 -0.0172 Sm
-11.6172 -5.4083 1.5942 Sm
-15.9758 -7.5181 3.2055 Sm
-20.3323 -9.6269 4.8161 Sm
-1.0493 -3.3220 0.5918 Sm
-5.4058 -5.4308 2.2024 Sm
-9.7644 -7.5406 3.8138 Sm
-14.1230 -9.6504 5.4251 Sm
-18.4796 -11.7592 7.0357 Sm
-4.2764 -2.0700 1.5809 Ho
-8.6338 -4.1793 3.1919 Ho
-12.9922 -6.2890 4.8031 Ho
-17.3496 -8.3982 6.4140 Ho
0.0000 0.0000 0.0000 Sc

=====

(4)
Sm12Ho6Sc (PBE, relaxed); total energy = -4.616 eV/atom; crystal system = trigonal
1.0
8.5035 0.6784 0.8128
-0.6186 8.5081 0.8128
-0.6186 -0.7207 8.5164
Sm Ho Sc
12 6 1
Cartesian
6.0420 4.7817 4.7838 Sm
2.8918 6.5561 5.5595 Sm
3.8104 3.5100 7.4441 Sm
1.2244 3.6842 5.3581 Sm
4.3746 1.9097 4.5824 Sm
3.4560 4.9558 2.6978 Sm
-0.1920 1.3714 3.2320 Sm
5.8817 5.2892 9.5465 Sm
4.3363 8.2107 8.2150 Sm
7.4584 7.0944 6.9099 Sm
1.3847 3.1767 0.5954 Sm
2.9301 0.2552 1.9269 Sm
5.5579 7.9703 3.8389 Ho
5.7833 2.6155 1.6139 Ho
0.2309 5.8863 2.8618 Ho
1.7085 0.4956 6.3030 Ho
1.4831 5.8503 8.5280 Ho
7.0355 2.5795 7.2801 Ho
0.0000 0.0000 0.0000 Sc

=====

(5)
Sm2Ho3Sc (PBE, relaxed); total energy = -4.770 eV/atom; E above lowest polymorph = 0.022 eV/atom; crystal system = monoclinic
1.0
3.4418 0.0000 0.0000
1.7209 8.7510 0.1331
1.7209 2.1481 12.5132
Sm Ho Sc
4 6 2
Cartesian
5.1628 6.0897 11.0499 Sm
1.7209 4.8094 1.5964 Sm
3.4418 2.5518 6.6570 Sm
3.4418 8.3474 5.9893 Sm
1.7209 2.9141 9.8455 Ho
5.1627 7.9850 2.8008 Ho
5.1628 9.3441 12.2895 Ho
1.7209 1.5550 0.3568 Ho
5.1627 8.6361 8.9525 Ho
1.7209 2.2630 3.6938 Ho
3.4418 5.6254 8.0914 Sc
3.4418 5.2737 4.5548 Sc

=====

(6)
Sm2Ho2Sc (PBE, relaxed); total energy = -4.872 eV/atom; E above lowest polymorph = 0.000 eV/atom; crystal system = trigonal
1.0
-3.8843 3.9484 -0.6584
-3.5516 1.1373 4.1477
1.1861 5.6433 3.2187
Sm Ho Sc
2 2 1
Cartesian
-4.2998 4.0988 2.6950 Sm
-1.9500 6.6302 4.0130 Sm
-0.8973 3.3988 2.0501 Ho
-5.3525 7.3301 4.6579 Ho
0.0000 0.0000 0.0000 Sc

=====

(7)
Sm3Ho3Sc2 (PBE, relaxed); total energy = -5.027 eV/atom; E above lowest polymorph = 0.000 eV/atom; crystal system = orthorhombic
1.0
-2.8230 4.0954 -0.2577
-1.2864 -1.1785 -4.6355
-7.6645 -5.0683 3.4156
Sm Ho Sc
3 3 2
Cartesian
-5.2438 -0.4865 1.5789 Sm
-0.6432 -0.5893 -2.3177 Sm
-4.4755 -3.1234 -0.6099 Sm
-7.8132 -2.3495 0.1196 Ho
-3.9608 0.1980 -1.5972 Ho
-1.4115 2.0477 -0.1289 Ho
-5.7609 -3.8095 2.5673 Sc
-1.9036 -1.2588 0.8483 Sc

=====

(8)
Sm2Ho4Sc3 (PBE, relaxed); total energy = -5.133 eV/atom; E above lowest polymorph = 0.000 eV/atom; crystal system = trigonal
1.0
-0.5483 -1.1390 3.2581
-2.5443 -0.2341 -2.3843
8.3391 -23.0080 -6.6400
Sm Ho Sc
2 4 3
Cartesian
-0.4954 -2.8189 0.8054 Sm
6.0631 -20.9141 -4.4167 Sm
4.5554 -12.5686 -3.6272 Ho
2.3930 -10.7883 -1.4945 Ho
0.6598 -6.0063 -0.1144 Ho
6.2994 -17.3802 -5.0158 Ho
8.1801 -22.5693 -6.5134 Sc
2.7321 -7.5380 -2.1754 Sc
4.2156 -15.8168 -2.9457 Sc

=====

no.,Fermi-level density of states (states/eV per cell),total moment (μB/f.u.)
1,6.58,0.0
2,25.39,0.0
3,26.26,0.0
4,33.33,0.0
5,20.36,0.0
6,9.57,0.0
7,12.51,0.0
8,13.75,0.0